# 1
First-principles (PBE-GGA) data for YBe2Al2 after structural relaxation, as listed in Alexandria.

The structure belongs to space group I4/mmm (No. 139); the cell edges are 4.030, 4.030 and 9.977 Å and the angles 90.00°, 90.00° and 90.00°. Symmetry generates all atoms from Y at (0.000, 0.000, 0.000), Be at (0.000, 0.500, 0.250) and Al at (0.000, 0.000, 0.372).

As for the calculated formation energy: -0.201 eV per atom. The value obtained for the polymorph energy (0 for the lowest one) is 0.00 eV per formula unit. The density of states at the Fermi level comes out at 1.24 states/eV/f.u.

=====

# 2
First-principles (PBE-GGA) data for Ba2LaSn3Pt4 after structural relaxation, as listed in Alexandria.

The structure belongs to space group P-4m2 (No. 115); the cell edges are 4.842, 4.842 and 11.163 Å and the angles 90.00°, 90.00° and 90.00°. Symmetry generates all atoms from Ba at (0.000, 0.500, 0.228), La at (0.000, 0.000, 0.500), Sn at (0.000, 0.500, 0.885), Sn at (0.500, 0.500, 0.500), Pt at (0.000, 0.000, 0.000), Pt at (0.000, 0.500, 0.642) and Pt at (0.500, 0.500, 0.000).

As for the calculated formation energy: -0.853 eV per atom. The density of states at the Fermi level comes out at 4.51 states/eV/f.u.

=====

# 3
First-principles (PBE-GGA) data for LaRh2Br after structural relaxation, as listed in Alexandria.

The structure belongs to space group C2/m (No. 12); the cell edges are 9.692, 3.714 and 4.806 Å and the angles 90.00°, 93.73° and 90.00°. Symmetry generates all atoms from La at (0.000, 0.000, 0.000), Rh at (0.228, 0.500, 0.205) and Br at (0.000, 0.500, 0.500).

For the formation energy without anion corrections, the calculation gives -0.31 eV per atom. The value obtained for the polymorph energy (0 for the lowest one) is 0.68 eV per formula unit. The density of states at the Fermi level comes out at 2.79 states/eV/f.u.

=====

# 4
First-principles (PBE-GGA) data for HfAlTe after structural relaxation, as listed in Alexandria.

The structure belongs to space group C2/m (No. 12); the cell edges are 22.963, 3.713 and 3.711 Å and the angles 90.00°, 90.62° and 90.00°. Symmetry generates all atoms from Hf at (0.102, 0.000, 0.006), Al at (0.000, 0.000, 0.500), Al at (0.000, 0.500, 0.000) and Te at (0.160, 0.500, 0.510).

For the formation energy without anion corrections, the calculation gives -0.40 eV per atom. The value obtained for the polymorph energy (0 for the lowest one) is 0.28 eV per formula unit. The density of states at the Fermi level comes out at 1.48 states/eV/f.u.

=====

# 5
First-principles (PBE-GGA) data for NdCoC2 after structural relaxation, as listed in Alexandria.

The structure belongs to space group Cc (No. 9); the cell edges are 5.372, 5.376 and 7.401 Å and the angles 90.00°, 101.72° and 90.00°. Symmetry generates all atoms from Nd at (0.000, 0.073, 0.000), Co at (0.058, 0.429, 0.693), C at (0.329, 0.181, 0.773) and C at (0.482, 0.076, 0.925).

As for the calculated formation energy: -0.268 eV per atom. The density of states at the Fermi level comes out at 1.23 states/eV/f.u.

=====

# 6
First-principles (PBE-GGA) data for AcP2Pd6 after structural relaxation, as listed in Alexandria.

The structure belongs to space group P6/mmm (No. 191); the cell edges are 5.8667, 5.8667 and 6.0593 Å and the angles 90.00°, 90.00° and 120.00°. Symmetry generates all atoms from Ac at (0.0000, 0.0000, 0.0000), P at (0.3333, 0.6667, 0.5000) and Pd at (0.0000, 0.5000, 0.2354).

As for the calculated formation energy: -0.568 eV per atom. The density of states at the Fermi level comes out at 3.13 states/eV/f.u.

=====

# 7
First-principles (PBE-GGA) data for LiCd2Sb after structural relaxation, as listed in Alexandria.

The structure belongs to space group I4/mmm (No. 139); the cell edges are 4.400, 4.400 and 9.273 Å and the angles 90.00°, 90.00° and 90.00°. Symmetry generates all atoms from Li at (0.000, 0.000, 0.000), Cd at (0.000, 0.500, 0.250) and Sb at (0.000, 0.000, 0.500).

For the formation energy without anion corrections, the calculation gives -0.17 eV per atom. The density of states at the Fermi level comes out at 1.57 states/eV/f.u.

=====

# 8
First-principles (PBE-GGA) data for EuGd6 after structural relaxation, as listed in Alexandria.

The structure belongs to space group Im-3m (No. 229); the cell edges are 8.200, 8.200 and 8.200 Å and the angles 90.00°, 90.00° and 90.00°. Symmetry generates all atoms from Eu at (0.000, 0.000, 0.000) and Gd at (0.000, 0.250, 0.500).

As for the calculated formation energy: 1.176 eV per atom. The density of states at the Fermi level comes out at 21.95 states/eV/f.u.

=====

# 9
First-principles (PBE-GGA) data for SmScRhAu after structural relaxation, as listed in Alexandria.

The structure belongs to space group F-43m (No. 216); the cell edges are 6.939, 6.939 and 6.939 Å and the angles 90.00°, 90.00° and 90.00°. Symmetry generates all atoms from Sm at (0.000, 0.000, 0.000), Sc at (0.000, 0.000, 0.500), Rh at (0.250, 0.250, 0.250) and Au at (0.250, 0.250, 0.750).

As for the calculated formation energy: -0.736 eV per atom. The density of states at the Fermi level comes out at 4.52 states/eV/f.u.

=====

# 10
First-principles (PBE-GGA) data for Y3Ho2PuSe6 after structural relaxation, as listed in Alexandria.

The structure belongs to space group C2/m (No. 12); the cell edges are 17.819, 4.066 and 8.200 Å and the angles 90.00°, 103.35° and 90.00°. Symmetry generates all atoms from Y at (0.000, 0.000, 0.000), Y at (0.165, 0.500, 0.335), Ho at (0.163, 0.500, 0.828), Pu at (0.000, 0.000, 0.500), Se at (0.000, 0.500, 0.247), Se at (0.169, 0.000, 0.082) and Se at (0.169, 0.000, 0.587).

For the formation energy without anion corrections, the calculation gives -1.73 eV per atom. The density of states at the Fermi level comes out at 8.31 states/eV/f.u.

=====

# 11
First-principles (PBE-GGA) data for NdY8Tm5 after structural relaxation, as listed in Alexandria.

The structure belongs to space group I-4 (No. 82); the cell edges are 9.489, 9.489 and 10.210 Å and the angles 90.00°, 90.00° and 90.00°. Symmetry generates all atoms from Nd at (0.000, 0.000, 0.000), Y at (0.071, 0.178, 0.350), Y at (0.086, 0.327, 0.003), Tm at (0.000, 0.500, 0.250) and Tm at (0.112, 0.291, 0.678).

As for the calculated formation energy: 0.248 eV per atom. The density of states at the Fermi level comes out at 22.95 states/eV/f.u.

=====

# 12
First-principles (PBE-GGA) data for BiPd3Pb after structural relaxation, as listed in Alexandria.

The structure belongs to space group P-1 (No. 2); the cell edges are 5.766, 5.766 and 6.794 Å and the angles 98.01°, 90.28° and 90.50°. Symmetry generates all atoms from Bi at (0.001, 0.290, 0.280), Pd at (0.003, 0.804, 0.326), Pd at (0.251, 0.501, 0.999), Pd at (0.256, 0.002, 0.001) and Pb at (0.498, 0.208, 0.700).

As for the calculated formation energy: -0.210 eV per atom. The value obtained for the polymorph energy (0 for the lowest one) is 0.13 eV per formula unit. The density of states at the Fermi level comes out at 1.88 states/eV/f.u.